{"formula": "BeCl", "functional": "GGA-PBE", "state": "relaxed", "volume_a3_per_cell": 171, "e_form_raw_ev_per_atom": 0.3576, "dft_energy_ry_per_atom": -0.179, "lattice_angstrom": [[-0.568, -1.202, 5.385], [-2.575, -4.730, -1.327], [4.880, -2.636, -0.074]], "species": ["Be", "Be", "Be", "Be", "Cl", "Cl", "Cl", "Cl"], "fractional_positions": [[0.224, 0.724, 0.776], [0.276, 0.276, 0.276], [0.776, 0.224, 0.724], [0.724, 0.776, 0.224], [0.428, 0.928, 0.572], [0.072, 0.072, 0.072], [0.572, 0.428, 0.928], [0.928, 0.572, 0.428]]}